Material: RbScMo2Ru
Method: DFT, GGA-PBE
State: optimized geometry

a b c (Å): 4.7290 4.7290 4.6992
angles (deg): 90.00 90.00 90.00
Space group P4/mmm (No. 123)
Inequivalent atoms, fractional coordinates:
Rb  0.0000  0.0000  0.0000 x1
Sc  0.5000  0.5000  0.5000 x1
Mo  0.0000  0.5000  0.0000 x2
Ru  0.0000  0.0000  0.5000 x1

---

Material: Rb2TaMoRu
Method: DFT, GGA-PBE
State: optimized geometry

a b c (Å): 6.5305 6.5305 4.6997
angles (deg): 90.00 90.00 90.00
Space group P4/mmm (No. 123)
Inequivalent atoms, fractional coordinates:
Rb  0.0000  0.5000  0.0000 x2
Ta  0.0000  0.0000  0.5000 x1
Mo  0.0000  0.0000  0.0000 x1
Ru  0.5000  0.5000  0.5000 x1

---

Number 1: calculated total energy -4.928 eV per atom, density of states at the Fermi level 7.035 states/eV per cell, ΔH_f (0 K) 13.6 eV/f.u.. Number 2: calculated total energy -4.382 eV per atom, density of states at the Fermi level 4.006 states/eV per cell, ΔH_f (0 K) 12.0 eV/f.u..